[1]
{"formula": "ZrScSi", "functional": "PBE-GGA", "state": "relaxed", "lattice_angstrom": [[5.057, -0.461, 0.429], [4.068, 2.989, 0.691], [0.989, 0.018, 3.459]], "species": ["Sc", "Si", "Zr"], "fractional_positions": [[0.988, 0.988, 0.012], [0.332, 0.332, 0.668], [0.680, 0.680, 0.320]], "e_tot_ev_per_atom": -7.1727, "magnetic_moment_mub_per_cell": 0.0, "raw_formation_energy_ev_per_atom": -0.41, "dos_ef_per_ev_atom": 1.349}

=====

[2]
{"formula": "ZnPbW2", "functional": "PBE-GGA", "state": "relaxed", "lattice_angstrom": [[-4.582, 1.578, 1.064], [-3.097, -3.423, -1.820], [3.936, -0.545, 2.971]], "species": ["Pb", "W", "W", "Zn"], "fractional_positions": [[0.750, 0.250, 0.500], [0.000, 0.000, 0.000], [0.250, 0.750, 0.500], [0.500, 0.500, 0.000]], "formation_energy_mev_per_atom": 844, "e_tot_ev_per_atom": -6.8778, "magnetic_moment_mub_per_cell": 0.0, "polymorph_energy_mev_per_atom": 336.5, "dos_ef_per_ev_atom": 0.666}

=====

[3]
{"formula": "Cs2BiSeCl6", "functional": "PBE-GGA", "state": "relaxed", "lattice_angstrom": [[-6.731, -2.812, 1.828], [2.628, -1.876, 6.792], [-3.824, 3.367, 6.573]], "species": ["Cs", "Cs", "Bi", "Se", "Cl", "Cl", "Cl", "Cl", "Cl", "Cl"], "fractional_positions": [[0.750, 0.250, 0.500], [0.250, 0.750, 0.500], [0.000, 0.000, 0.000], [0.500, 0.500, 0.000], [0.212, 0.212, 0.576], [0.788, 0.788, 0.424], [0.258, 0.258, 0.000], [0.742, 0.742, 0.000], [0.742, 0.258, 0.000], [0.258, 0.742, 0.000]], "e_tot_ev_per_atom": -3.1390, "magnetic_moment_mub_per_cell": 0.0, "raw_formation_energy_ev_per_atom": -1.12, "dos_ef_per_ev_atom": 0.291}

=====

[4]
{"formula": "Hf4AlTc2", "functional": "PBE-GGA", "state": "relaxed", "lattice_angstrom": [[4.421, 0.000, 1.381], [1.995, 3.946, 1.381], [-0.029, -0.018, 7.859]], "species": ["Hf", "Hf", "Hf", "Hf", "Al", "Tc", "Tc"], "fractional_positions": [[0.869, 0.869, 0.393], [0.131, 0.131, 0.607], [0.616, 0.616, 0.151], [0.384, 0.384, 0.849], [0.000, 0.000, 0.000], [0.745, 0.745, 0.764], [0.255, 0.255, 0.236]], "formation_energy_mev_per_atom": -266, "e_tot_ev_per_atom": -9.4497, "magnetic_moment_mub_per_cell": 0.0, "dos_ef_per_ev_atom": 0.639}

=====

[5]
{"formula": "TbSc2Cd3", "functional": "PBE-GGA", "state": "relaxed", "lattice_angstrom": [[-2.503, 2.564, -0.358], [-2.321, -2.444, -1.269], [-3.472, -1.971, 10.148]], "species": ["Tb", "Sc", "Sc", "Cd", "Cd", "Cd"], "fractional_positions": [[0.500, 0.500, 0.500], [0.500, 0.500, 0.841], [0.500, 0.500, 0.159], [0.000, 0.000, 0.000], [0.000, 0.000, 0.685], [0.000, 0.000, 0.315]], "formation_energy_mev_per_atom": -296, "e_tot_ev_per_atom": -3.6353, "magnetic_moment_mub_per_cell": 0.2, "dos_ef_per_ev_atom": 0.998}

=====

[6]
{"formula": "Eu4Ti3O10", "functional": "PBE-GGA", "state": "relaxed", "lattice_angstrom": [[14.284, 0.014, 0.000], [13.196, 5.468, 0.000], [-13.740, -2.741, 2.780]], "species": ["Eu", "Eu", "Eu", "Eu", "Ti", "Ti", "Ti", "O", "O", "O", "O", "O", "O", "O", "O", "O", "O"], "fractional_positions": [[0.298, 0.298, 0.000], [0.702, 0.702, 0.000], [0.431, 0.431, 0.000], [0.569, 0.569, 0.000], [0.141, 0.141, 0.000], [0.859, 0.859, 0.000], [0.000, 0.000, 0.000], [0.213, 0.213, 0.000], [0.787, 0.787, 0.000], [0.641, 0.141, 0.500], [0.359, 0.859, 0.500], [0.141, 0.641, 0.500], [0.859, 0.359, 0.500], [0.070, 0.070, 0.000], [0.930, 0.930, 0.000], [0.500, 0.000, 0.500], [0.000, 0.500, 0.500]], "e_tot_ev_per_atom": -9.8295, "magnetic_moment_mub_per_cell": 0.1, "raw_formation_energy_ev_per_atom": -3.10, "dos_ef_per_ev_atom": 2.779}

=====

[7]
{"formula": "NdHo2MnN4", "functional": "PBE-GGA", "state": "relaxed", "lattice_angstrom": [[3.400, 0.000, 0.000], [-1.700, 5.725, 0.000], [0.000, 0.000, 11.487]], "species": ["Nd", "Nd", "Ho", "Ho", "Ho", "Ho", "Mn", "Mn", "N", "N", "N", "N", "N", "N", "N", "N"], "fractional_positions": [[0.099, 0.197, 0.750], [0.901, 0.803, 0.250], [0.369, 0.737, 0.544], [0.631, 0.263, 0.044], [0.631, 0.263, 0.456], [0.369, 0.737, 0.956], [0.835, 0.670, 0.750], [0.165, 0.330, 0.250], [0.266, 0.531, 0.128], [0.734, 0.469, 0.628], [0.734, 0.469, 0.872], [0.266, 0.531, 0.372], [0.000, 0.000, 0.500], [0.000, 0.000, 0.000], [0.419, 0.838, 0.750], [0.581, 0.162, 0.250]], "e_tot_ev_per_atom": -8.2540, "magnetic_moment_mub_per_cell": 1.7, "raw_formation_energy_ev_per_atom": -1.20, "dos_ef_per_ev_atom": 0.440}

=====

[8]
{"formula": "BaMgTlSn", "functional": "PBE-GGA", "state": "relaxed", "lattice_angstrom": [[-2.689, -4.826, -1.089], [-0.938, -3.697, 4.142], [-5.230, -0.805, 1.925]], "species": ["Mg", "Tl", "Ba", "Sn"], "fractional_positions": [[0.500, 0.500, 0.500], [0.250, 0.250, 0.250], [0.000, 0.000, 0.000], [0.750, 0.750, 0.750]], "formation_energy_mev_per_atom": -276, "e_tot_ev_per_atom": -2.7475, "magnetic_moment_mub_per_cell": 0.0, "dos_ef_per_ev_atom": 0.867}

=====

[9]
{"formula": "KCa2AgRh", "functional": "PBE-GGA", "state": "relaxed", "lattice_angstrom": [[5.438, 0.000, 0.000], [0.000, 5.438, 0.000], [0.000, 0.000, 5.438]], "species": ["Ca", "Ca", "Rh", "K", "Ag"], "fractional_positions": [[0.000, 0.500, 0.000], [0.500, 0.000, 0.000], [0.000, 0.000, 0.000], [0.500, 0.500, 0.500], [0.000, 0.000, 0.500]], "formation_energy_mev_per_atom": -54, "e_tot_ev_per_atom": -3.1143, "magnetic_moment_mub_per_cell": 0.0, "dos_ef_per_ev_atom": 0.282}

=====

[10]
{"formula": "VSn2AsPd", "functional": "PBE-GGA", "state": "relaxed", "lattice_angstrom": [[5.194, 0.000, 0.000], [0.000, 4.774, 0.000], [0.000, 0.000, 5.194]], "species": ["As", "Sn", "Sn", "Pd", "V"], "fractional_positions": [[0.000, 0.500, 0.000], [0.000, 0.000, 0.500], [0.500, 0.000, 0.000], [0.000, 0.000, 0.000], [0.500, 0.500, 0.500]], "formation_energy_mev_per_atom": 844, "e_tot_ev_per_atom": -4.5492, "magnetic_moment_mub_per_cell": 0.1, "dos_ef_per_ev_atom": 1.387}

=====

[11]
{"formula": "TbPuTc4", "functional": "PBE-GGA", "state": "relaxed", "lattice_angstrom": [[5.396, 0.000, 0.000], [2.698, 4.673, 0.000], [2.698, 1.558, 4.406]], "species": ["Tb", "Tc", "Tc", "Tc", "Tc", "Pu"], "fractional_positions": [[0.250, 0.250, 0.250], [0.625, 0.625, 0.125], [0.625, 0.125, 0.625], [0.625, 0.625, 0.625], [0.125, 0.625, 0.625], [0.000, 0.000, 0.000]], "formation_energy_mev_per_atom": -24, "e_tot_ev_per_atom": -10.0955, "magnetic_moment_mub_per_cell": 5.9, "dos_ef_per_ev_atom": 1.946}

=====

[12]
{"formula": "Ac5AlSn4", "functional": "PBE-GGA", "state": "relaxed", "lattice_angstrom": [[3.817, 0.000, 0.000], [0.000, 3.817, 0.000], [0.000, 0.000, 22.892]], "species": ["Ac", "Ac", "Ac", "Ac", "Ac", "Al", "Sn", "Sn", "Sn", "Sn"], "fractional_positions": [[0.500, 0.500, 0.094], [0.500, 0.500, 0.297], [0.500, 0.500, 0.500], [0.500, 0.500, 0.703], [0.500, 0.500, 0.906], [0.000, 0.000, 0.000], [0.000, 0.000, 0.197], [0.000, 0.000, 0.399], [0.000, 0.000, 0.601], [0.000, 0.000, 0.803]], "formation_energy_mev_per_atom": -525, "e_tot_ev_per_atom": -4.5543, "magnetic_moment_mub_per_cell": 0.0, "dos_ef_per_ev_atom": 0.684}

=====

[13]
{"formula": "Rb4ClO", "functional": "PBE-GGA", "state": "relaxed", "lattice_angstrom": [[7.715, -0.197, -1.866], [-3.718, 7.060, -2.517], [-0.012, 0.399, 10.002]], "species": ["Rb", "Rb", "Rb", "Rb", "Rb", "Rb", "Rb", "Rb", "Cl", "Cl", "O", "O"], "fractional_positions": [[0.071, 0.240, 0.101], [0.218, 0.946, 0.338], [0.530, 0.861, 0.101], [0.620, 0.392, 0.338], [0.380, 0.608, 0.662], [0.470, 0.139, 0.899], [0.782, 0.054, 0.662], [0.929, 0.760, 0.899], [0.570, 0.320, 0.641], [0.430, 0.680, 0.359], [0.690, 0.940, 0.881], [0.310, 0.060, 0.119]], "e_tot_ev_per_atom": -2.8761, "magnetic_moment_mub_per_cell": 0.0, "polymorph_energy_mev_per_atom": 0.0, "raw_formation_energy_ev_per_atom": -1.10, "dos_ef_per_ev_atom": 0.310}

=====

[14]
{"formula": "NpVW", "functional": "PBE-GGA", "state": "relaxed", "lattice_angstrom": [[-2.885, 1.347, 0.199], [-0.559, -1.597, 2.704], [3.695, 7.175, 5.002]], "species": ["W", "W", "V", "V", "Np", "Np"], "fractional_positions": [[0.000, 0.500, 0.583], [0.500, 0.000, 0.417], [0.500, 0.000, 0.739], [0.000, 0.500, 0.261], [0.000, 0.500, 0.935], [0.500, 0.000, 0.065]], "formation_energy_mev_per_atom": 149, "e_tot_ev_per_atom": -11.5214, "magnetic_moment_mub_per_cell": 0.0, "polymorph_energy_mev_per_atom": 0.0, "dos_ef_per_ev_atom": 1.758}